Compound: TbY2OsC2
Source: Alexandria via LeMat-Bulk
Functional: GGA-PBE
Structure: optimized geometry

Results
Magnetization   0.0 μB per formula unit
ΔE_f   -0.214 eV/atom

```
TbY2OsC2
1.0
-1.301 -3.297 -1.169
1.564 -2.332 4.837
-9.885 2.365 4.336
C Y Tb Os
4 4 2 2
direct
0.500 0.767 0.381 C
0.000 0.733 0.881 C
0.500 0.233 0.619 C
0.000 0.267 0.119 C
0.000 0.543 0.293 Y
0.500 0.043 0.207 Y
0.000 0.457 0.707 Y
0.500 0.957 0.793 Y
0.500 0.500 0.000 Tb
0.000 0.000 0.500 Tb
0.500 0.500 0.500 Os
0.000 0.000 0.000 Os
```